Entry 1:
Crystalline CaTi3Hg at its relaxed geometry, computed with PBE.

Geometry as CIF:
```
data_CaTi3Hg
_cell_length_a 4.756
_cell_length_b 4.756
_cell_length_c 4.756
_cell_angle_alpha 90.00
_cell_angle_beta 90.00
_cell_angle_gamma 90.00
_space_group_name_H-M_alt 'P m -3 m'
_space_group_IT_number 221
_space_group_name_Hall '-P 4 2 3'
loop_
_atom_site_label
_atom_site_type_symbol
_atom_site_fract_x
_atom_site_fract_y
_atom_site_fract_z
Ca1 Ca 0.000 0.000 0.000
Ti1 Ti 0.000 0.000 0.500
Hg1 Hg 0.500 0.500 0.500
```

Output
- Raw total energy: -18.0 eV/cell
- Total magnetization: 3.034 μB/cell
- Density of states at the Fermi level: 7.0 states/eV/cell
- Calculated formation energy: 1596 meV per atom


Entry 2:
Crystalline CaTlHg3 at its relaxed geometry, computed with PBE.

Geometry as CIF:
```
data_CaTlHg3
_cell_length_a 5.652
_cell_length_b 5.652
_cell_length_c 5.652
_cell_angle_alpha 90.00
_cell_angle_beta 90.00
_cell_angle_gamma 90.00
_space_group_name_H-M_alt 'P m -3 m'
_space_group_IT_number 221
_space_group_name_Hall '-P 4 2 3'
loop_
_atom_site_label
_atom_site_type_symbol
_atom_site_fract_x
_atom_site_fract_y
_atom_site_fract_z
Ca1 Ca 0.000 0.000 0.000
Tl1 Tl 0.500 0.500 0.500
Hg1 Hg 0.000 0.500 0.500
```

Output
- Raw total energy: -4.5 eV/cell
- Total magnetization: 0.000 μB/cell
- Density of states at the Fermi level: 3.5 states/eV/cell
- Calculated formation energy: 162 meV per atom


Entry 3:
Crystalline CaTlHg2 at its relaxed geometry, computed with PBE.

Geometry as CIF:
```
data_CaTlHg2
_cell_length_a 3.593
_cell_length_b 5.612
_cell_length_c 12.484
_cell_angle_alpha 90.00
_cell_angle_beta 90.00
_cell_angle_gamma 90.00
_space_group_name_H-M_alt 'I m m m'
_space_group_IT_number 71
_space_group_name_Hall '-I 2 2'
loop_
_atom_site_label
_atom_site_type_symbol
_atom_site_fract_x
_atom_site_fract_y
_atom_site_fract_z
Ca1 Ca 0.000 0.000 0.000
Tl1 Tl 0.000 0.000 0.500
Hg1 Hg 0.000 0.000 0.255
```

Output
- Raw total energy: -10.7 eV/cell
- Total magnetization: 0.000 μB/cell
- Density of states at the Fermi level: 6.2 states/eV/cell
- Calculated formation energy: -99 meV per atom


Entry 4:
Crystalline Ca3Tl3Hg4 at its relaxed geometry, computed with PBE.

Geometry as CIF:
```
data_Ca3Tl3Hg4
_cell_length_a 4.040
_cell_length_b 12.177
_cell_length_c 11.576
_cell_angle_alpha 90.00
_cell_angle_beta 90.00
_cell_angle_gamma 90.00
_space_group_name_H-M_alt 'A m m 2'
_space_group_IT_number 38
_space_group_name_Hall 'A 2 -2'
loop_
_atom_site_label
_atom_site_type_symbol
_atom_site_fract_x
_atom_site_fract_y
_atom_site_fract_z
Ca1 Ca 0.000 0.000 0.000
Ca2 Ca 0.000 0.169 0.660
Tl1 Tl 0.000 0.000 0.332
Tl2 Tl 0.500 0.245 0.913
Hg1 Hg 0.500 0.000 0.529
Hg2 Hg 0.500 0.000 0.793
Hg3 Hg 0.500 0.132 0.170
```

Output
- Raw total energy: -35.1 eV/cell
- Total magnetization: 0.000 μB/cell
- Density of states at the Fermi level: 11.1 states/eV/cell
- Calculated formation energy: -326 meV per atom


Entry 5:
Crystalline Ca6TlHg at its relaxed geometry, computed with PBE.

Geometry as CIF:
```
data_Ca6TlHg
_cell_length_a 7.396
_cell_length_b 7.399
_cell_length_c 8.038
_cell_angle_alpha 117.34
_cell_angle_beta 90.04
_cell_angle_gamma 119.97
_space_group_name_H-M_alt 'P -1'
_space_group_IT_number 2
_space_group_name_Hall '-P 1'
loop_
_atom_site_label
_atom_site_type_symbol
_atom_site_fract_x
_atom_site_fract_y
_atom_site_fract_z
Ca1 Ca 0.059 0.492 0.249
Ca2 Ca 0.243 0.184 0.751
Ca3 Ca 0.434 0.191 0.249
Tl1 Tl 0.500 0.000 0.500
Hg1 Hg 0.000 0.000 0.000
```

Output
- Raw total energy: -15.7 eV/cell
- Total magnetization: 0.000 μB/cell
- Density of states at the Fermi level: 7.7 states/eV/cell
- Calculated formation energy: -123 meV per atom


Entry 6:
Crystalline CaTl2Hg at its relaxed geometry, computed with PBE.

Geometry as CIF:
```
data_CaTl2Hg
_cell_length_a 5.754
_cell_length_b 5.765
_cell_length_c 6.931
_cell_angle_alpha 90.00
_cell_angle_beta 90.00
_cell_angle_gamma 90.00
_space_group_name_H-M_alt 'C m m m'
_space_group_IT_number 65
_space_group_name_Hall '-C 2 2'
loop_
_atom_site_label
_atom_site_type_symbol
_atom_site_fract_x
_atom_site_fract_y
_atom_site_fract_z
Ca1 Ca 0.000 0.000 0.000
Tl1 Tl 0.000 0.500 0.263
Hg1 Hg 0.000 0.000 0.500
```

Output
- Raw total energy: -15.6 eV/cell
- Total magnetization: 0.000 μB/cell
- Density of states at the Fermi level: 4.5 states/eV/cell
- Calculated formation energy: -192 meV per atom


Entry 7:
Crystalline Ca3TlHg at its relaxed geometry, computed with PBE.

Geometry as CIF:
```
data_Ca3TlHg
_cell_length_a 5.853
_cell_length_b 5.853
_cell_length_c 5.853
_cell_angle_alpha 90.00
_cell_angle_beta 90.00
_cell_angle_gamma 90.00
_space_group_name_H-M_alt 'P m -3 m'
_space_group_IT_number 221
_space_group_name_Hall '-P 4 2 3'
loop_
_atom_site_label
_atom_site_type_symbol
_atom_site_fract_x
_atom_site_fract_y
_atom_site_fract_z
Ca1 Ca 0.000 0.000 0.500
Tl1 Tl 0.500 0.500 0.500
Hg1 Hg 0.000 0.000 0.000
```

Output
- Raw total energy: -9.2 eV/cell
- Total magnetization: 0.000 μB/cell
- Density of states at the Fermi level: 6.9 states/eV/cell
- Calculated formation energy: -96 meV per atom


Entry 8:
Crystalline Ca3Tl2Hg at its relaxed geometry, computed with PBE.

Geometry as CIF:
```
data_Ca3Tl2Hg
_cell_length_a 3.847
_cell_length_b 3.847
_cell_length_c 11.634
_cell_angle_alpha 90.00
_cell_angle_beta 90.00
_cell_angle_gamma 90.00
_space_group_name_H-M_alt 'P 4/m m m'
_space_group_IT_number 123
_space_group_name_Hall '-P 4 2'
loop_
_atom_site_label
_atom_site_type_symbol
_atom_site_fract_x
_atom_site_fract_y
_atom_site_fract_z
Ca1 Ca 0.000 0.000 0.000
Ca2 Ca 0.000 0.000 0.340
Tl1 Tl 0.500 0.500 0.168
Hg1 Hg 0.500 0.500 0.500
```

Output
- Raw total energy: -14.0 eV/cell
- Total magnetization: 0.000 μB/cell
- Density of states at the Fermi level: 2.5 states/eV/cell
- Calculated formation energy: -485 meV per atom


Entry 9:
Crystalline Ca2Tl3Hg2 at its relaxed geometry, computed with PBE.

Geometry as CIF:
```
data_Ca2Tl3Hg2
_cell_length_a 4.867
_cell_length_b 21.963
_cell_length_c 3.735
_cell_angle_alpha 90.00
_cell_angle_beta 90.00
_cell_angle_gamma 90.00
_space_group_name_H-M_alt 'C m m m'
_space_group_IT_number 65
_space_group_name_Hall '-C 2 2'
loop_
_atom_site_label
_atom_site_type_symbol
_atom_site_fract_x
_atom_site_fract_y
_atom_site_fract_z
Ca1 Ca 0.000 0.158 0.000
Tl1 Tl 0.000 0.000 0.000
Tl2 Tl 0.000 0.426 0.500
Hg1 Hg 0.000 0.287 0.500
```

Output
- Raw total energy: -27.5 eV/cell
- Total magnetization: 0.000 μB/cell
- Density of states at the Fermi level: 6.9 states/eV/cell
- Calculated formation energy: -291 meV per atom


Entry 10:
Crystalline CaTlHg3 at its relaxed geometry, computed with PBE.

Geometry as CIF:
```
data_CaTlHg3
_cell_length_a 6.047
_cell_length_b 16.320
_cell_length_c 5.828
_cell_angle_alpha 90.00
_cell_angle_beta 90.00
_cell_angle_gamma 90.00
_space_group_name_H-M_alt 'C m c m'
_space_group_IT_number 63
_space_group_name_Hall '-C 2c 2'
loop_
_atom_site_label
_atom_site_type_symbol
_atom_site_fract_x
_atom_site_fract_y
_atom_site_fract_z
Ca1 Ca 0.000 0.181 0.250
Tl1 Tl 0.000 0.429 0.750
Hg1 Hg 0.000 0.000 0.000
Hg2 Hg 0.247 0.349 0.250
```

Output
- Raw total energy: -25.0 eV/cell
- Total magnetization: 0.000 μB/cell
- Density of states at the Fermi level: 11.8 states/eV/cell
- Calculated formation energy: -196 meV per atom


Entry 11:
Crystalline Ca3TlHg5 at its relaxed geometry, computed with PBE.

Geometry as CIF:
```
data_Ca3TlHg5
_cell_length_a 9.2510
_cell_length_b 9.2510
_cell_length_c 6.4648
_cell_angle_alpha 90.00
_cell_angle_beta 90.00
_cell_angle_gamma 120.00
_space_group_name_H-M_alt 'P 63/m c m'
_space_group_IT_number 193
_space_group_name_Hall '-P 6c 2'
loop_
_atom_site_label
_atom_site_type_symbol
_atom_site_fract_x
_atom_site_fract_y
_atom_site_fract_z
Ca1 Ca 0.0000 0.3489 0.2500
Tl1 Tl 0.0000 0.0000 0.0000
Hg1 Hg 0.0000 0.3201 0.7500
Hg2 Hg 0.3333 0.6667 0.0000
```

Output
- Raw total energy: -27.3 eV/cell
- Total magnetization: 0.000 μB/cell
- Density of states at the Fermi level: 10.5 states/eV/cell
- Calculated formation energy: -419 meV per atom


Entry 12:
Crystalline Ca2Tl3Hg at its relaxed geometry, computed with PBE.

Geometry as CIF:
```
data_Ca2Tl3Hg
_cell_length_a 3.676
_cell_length_b 5.185
_cell_length_c 9.035
_cell_angle_alpha 90.00
_cell_angle_beta 90.00
_cell_angle_gamma 90.00
_space_group_name_H-M_alt 'P m m 2'
_space_group_IT_number 25
_space_group_name_Hall 'P 2 -2'
loop_
_atom_site_label
_atom_site_type_symbol
_atom_site_fract_x
_atom_site_fract_y
_atom_site_fract_z
Ca1 Ca 0.000 0.000 0.000
Ca2 Ca 0.000 0.500 0.488
Tl1 Tl 0.500 0.000 0.654
Tl2 Tl 0.500 0.500 0.166
Tl3 Tl 0.500 0.500 0.828
Hg1 Hg 0.500 0.000 0.326
```

Output
- Raw total energy: -13.2 eV/cell
- Total magnetization: 0.000 μB/cell
- Density of states at the Fermi level: 3.6 states/eV/cell
- Calculated formation energy: -296 meV per atom